Compound: KAsPt
Source: Alexandria via LeMat-Bulk
Functional: SCAN
Structure: single point on PBEsol structure Values from VASP.

The structure in Quantum ESPRESSO input format:
```
&SYSTEM
  ibrav = 0, nat = 3, ntyp = 3
/
ATOMIC_SPECIES
K 39.10 K.upf
As 74.92 As.upf
Pt 195.08 Pt.upf
ATOMIC_POSITIONS crystal
K 0.000 0.000 0.000
As 0.667 0.333 0.500
Pt 0.333 0.667 0.500
CELL_PARAMETERS angstrom
4.131 0.000 0.000
-2.065 3.577 0.000
0.000 0.000 5.186
```

**Spin magnetization**: 0.0 Bohr magnetons per cell
**V**: 25.55 Å³ per atom
**Electronic total energy**: -33.490 eV/atom
**Space group**: P-6m2 (187)